No. 1
! K2ZrBi2, relaxed, DFT PBE-GGA; values from VASP
&SYSTEM
  ibrav = 0, nat = 10, ntyp = 3
/
ATOMIC_SPECIES
K 39.10 K.upf
Bi 208.98 Bi.upf
Zr 91.22 Zr.upf
CELL_PARAMETERS angstrom
-4.668 -2.344 5.931
5.886 -4.413 2.888
1.840 4.590 3.263
ATOMIC_POSITIONS crystal
K 0.164 0.664 0.500
K 0.664 0.836 0.500
K 0.836 0.336 0.500
K 0.336 0.164 0.500
Bi 0.351 0.851 0.000
Bi 0.851 0.649 0.000
Bi 0.649 0.149 0.000
Bi 0.149 0.351 0.000
Zr 0.000 0.000 0.000
Zr 0.500 0.500 0.000
! Symmetry: P4/mbm
! DFT formation energy in eV/atom: -0.0918


No. 2
! K6ZrBi4, relaxed, DFT PBE-GGA; values from VASP
&SYSTEM
  ibrav = 0, nat = 22, ntyp = 3
/
ATOMIC_SPECIES
K 39.10 K.upf
Zr 91.22 Zr.upf
Bi 208.98 Bi.upf
CELL_PARAMETERS angstrom
-5.217 -5.109 4.982
6.830 -9.004 -2.080
2.021 6.772 9.061
ATOMIC_POSITIONS crystal
K 0.451 0.715 0.857
K 0.451 0.143 0.285
K 0.451 0.143 0.857
K 0.951 0.285 0.143
K 0.951 0.857 0.715
K 0.951 0.857 0.143
K 0.636 0.943 0.472
K 0.636 0.528 0.057
K 0.636 0.528 0.472
K 0.136 0.057 0.528
K 0.136 0.472 0.943
K 0.136 0.472 0.528
Zr 0.756 0.333 0.667
Zr 0.256 0.667 0.333
Bi 0.431 0.333 0.667
Bi 0.931 0.667 0.333
Bi 0.847 0.612 0.806
Bi 0.847 0.194 0.388
Bi 0.847 0.194 0.806
Bi 0.347 0.388 0.194
Bi 0.347 0.806 0.612
Bi 0.347 0.806 0.194
! Symmetry: P6_3mc
! DFT formation energy in eV/atom: -0.3387


No. 3
! KZrBi2, relaxed, DFT PBE-GGA; values from VASP
&SYSTEM
  ibrav = 0, nat = 4, ntyp = 3
/
ATOMIC_SPECIES
K 39.10 K.upf
Zr 91.22 Zr.upf
Bi 208.98 Bi.upf
CELL_PARAMETERS angstrom
-3.808 -0.443 -1.330
-2.911 -1.221 2.550
-4.034 8.309 2.599
ATOMIC_POSITIONS crystal
K 0.500 0.500 0.500
Zr 0.000 0.000 0.000
Bi 0.736 0.736 0.792
Bi 0.264 0.264 0.208
! Symmetry: R-3m
! DFT formation energy in eV/atom: -0.2902